Here is a relaxed Cd12Ag3Sb5 crystal from Alexandria via LeMat-Bulk. Energies are from GGA-PBE.

## Properties
* raw total energy: -1.90 eV per atom
* crystal system: cubic
* space-group type: Ia-3d (230)

Cell lengths 14.4633, 14.4633, 14.4633 Å; angles 109.47, 109.47, 109.47 degrees
Sites, in units of the cell vectors:
Ag  0.7500  0.3750  0.1250
Ag  0.8750  0.7500  0.1250
Ag  0.3750  0.7500  0.6250
Ag  0.2500  0.1250  0.3750
Ag  0.8750  0.1250  0.2500
Ag  0.3750  0.6250  0.2500
Ag  0.6250  0.3750  0.7500
Ag  0.1250  0.8750  0.7500
Ag  0.7500  0.8750  0.6250
Ag  0.6250  0.2500  0.3750
Ag  0.1250  0.2500  0.8750
Ag  0.2500  0.6250  0.8750
Sb  0.1250  0.3750  0.2500
Sb  0.0000  0.5000  0.0000
Sb  0.0000  0.0000  0.0000
Sb  0.3750  0.2500  0.1250
Sb  0.5000  0.0000  0.5000
Sb  0.5000  0.5000  0.0000
Sb  0.1250  0.7500  0.3750
Sb  0.7500  0.1250  0.8750
Sb  0.7500  0.6250  0.3750
Sb  0.3750  0.1250  0.7500
Sb  0.6250  0.8750  0.2500
Sb  0.5000  0.5000  0.5000
Sb  0.5000  0.0000  0.0000
Sb  0.0000  0.0000  0.5000
Sb  0.2500  0.3750  0.6250
Sb  0.2500  0.8750  0.1250
Sb  0.0000  0.5000  0.5000
Sb  0.8750  0.2500  0.6250
Sb  0.6250  0.7500  0.8750
Sb  0.8750  0.6250  0.7500
Cd  0.7351  0.1434  0.0679
Cd  0.3328  0.5679  0.4245
Cd  0.9321  0.3566  0.2649
Cd  0.5679  0.2351  0.1434
Cd  0.5917  0.7351  0.6672
Cd  0.9321  0.5755  0.1672
Cd  0.3328  0.7649  0.4083
Cd  0.0755  0.9083  0.1434
Cd  0.5755  0.9321  0.6672
Cd  0.7351  0.5917  0.1672
Cd  0.7649  0.4321  0.3566
Cd  0.8328  0.9245  0.0679
Cd  0.1434  0.7351  0.5679
Cd  0.3566  0.4245  0.0917
Cd  0.0917  0.9245  0.3566
Cd  0.4083  0.1434  0.5755
Cd  0.0917  0.1672  0.2351
Cd  0.4321  0.6672  0.0755
Cd  0.8328  0.9083  0.2649
Cd  0.1434  0.4083  0.0755
Cd  0.3566  0.9321  0.7649
Cd  0.5755  0.6434  0.4083
Cd  0.9245  0.8328  0.5679
Cd  0.7649  0.3328  0.9083
Cd  0.4245  0.3566  0.5917
Cd  0.0755  0.1672  0.4321
Cd  0.2351  0.6672  0.0917
Cd  0.1672  0.0917  0.7351
Cd  0.6434  0.0679  0.2351
Cd  0.8566  0.5917  0.9245
Cd  0.5679  0.3328  0.9245
Cd  0.5917  0.8566  0.4245
Cd  0.9083  0.8328  0.7649
Cd  0.9083  0.0755  0.6434
Cd  0.8566  0.2649  0.4321
Cd  0.1672  0.0755  0.9321
Cd  0.6434  0.5755  0.9083
Cd  0.4245  0.0679  0.3328
Cd  0.2649  0.4083  0.8328
Cd  0.2351  0.5679  0.6434
Cd  0.9245  0.0917  0.8566
Cd  0.6672  0.2351  0.5917
Cd  0.4321  0.7649  0.8566
Cd  0.0679  0.4245  0.8328
Cd  0.4083  0.2649  0.3328
Cd  0.0679  0.6434  0.7351
Cd  0.6672  0.4321  0.5755
Cd  0.2649  0.8566  0.9321